[1]
DFT (PBE) results for a relaxed structure of NaSmDy.

The calculation puts the total magnetic moment at 0.0 μB/cell. Its formation energy is 0.44 eV per formula unit.

The space group is I4mm (No. 107) and the conventional cell measures 3.5187, 3.5187 and 16.3522 Å, with angles of 90.00, 90.00 and 90.00 degrees. The asymmetric unit holds Na at (0.0000, 0.0000, 0.0000), Sm at (0.0000, 0.0000, 0.6769) and Dy at (0.0000, 0.0000, 0.3265).

***

[2]
DFT (PBE) results for a relaxed structure of LuScBi.

The calculation puts the total magnetic moment at 2.0 μB/cell. Its formation energy is -1.16 eV per formula unit.

The space group is I4mm (No. 107) and the conventional cell measures 3.9057, 3.9057 and 10.3417 Å, with angles of 90.00, 90.00 and 90.00 degrees. The asymmetric unit holds Lu at (0.0000, 0.0000, 0.0000), Sc at (0.0000, 0.0000, 0.6788) and Bi at (0.0000, 0.0000, 0.3286).

***

[3]
DFT (PBE) results for a relaxed structure of YHS2.

The value obtained for the electronic total energy is -5.8129 eV per atom. The calculation puts the total magnetic moment at 0.0 μB/cell.

The space group is R-3m (No. 166, hexagonal axes) and the conventional cell measures 4.0780, 4.0780 and 18.2846 Å, with angles of 90.00, 90.00 and 120.00 degrees. The asymmetric unit holds Y at (0.0000, 0.0000, 0.0000), H at (0.0000, 0.0000, 0.5000) and S at (0.0000, 0.0000, 0.4111).

***

[4]
DFT (PBE) results for a relaxed structure of CaPr2Er.

The calculation puts the total magnetic moment at 0.0 μB/cell. Its formation energy is 0.43 eV per formula unit.

The space group is Fm-3m (No. 225) and the conventional cell measures 8.2898, 8.2898 and 8.2898 Å, with angles of 90.00, 90.00 and 90.00 degrees. The asymmetric unit holds Ca at (0.0000, 0.0000, 0.0000), Pr at (0.2500, 0.2500, 0.2500) and Er at (0.0000, 0.0000, 0.5000).

***

[5]
DFT (PBE) results for a relaxed structure of CsAgSbI2.

The calculation puts the total magnetic moment at 1.8 μB/cell. The calculation puts the uncorrected formation energy at -301.6 meV/atom.

The space group is P4/mmm (No. 123) and the conventional cell measures 6.1509, 6.1509 and 5.4677 Å, with angles of 90.00, 90.00 and 90.00 degrees. The asymmetric unit holds Cs at (0.0000, 0.0000, 0.0000), Ag at (0.5000, 0.5000, 0.5000), Sb at (0.5000, 0.5000, 0.0000) and I at (0.0000, 0.5000, 0.5000).

***

[6]
DFT (PBE) results for a relaxed structure of Ti3NbSe.

The calculation puts the total magnetic moment at 0.0 μB/cell. The calculation puts the uncorrected formation energy at 175.5 meV/atom.

The space group is Pm-3m (No. 221) and the conventional cell measures 4.6258, 4.6258 and 4.6258 Å, with angles of 90.00, 90.00 and 90.00 degrees. The asymmetric unit holds Ti at (0.0000, 0.0000, 0.5000), Nb at (0.5000, 0.5000, 0.5000) and Se at (0.0000, 0.0000, 0.0000).

***

[7]
DFT (PBE) results for a relaxed structure of RbBaCl2.

The calculation puts the total magnetic moment at 2.7 μB/cell. The calculation puts the uncorrected formation energy at -1812.6 meV/atom.

The space group is R3m (No. 160, hexagonal axes) and the conventional cell measures 4.4599, 4.4599 and 25.4406 Å, with angles of 90.00, 90.00 and 120.00 degrees. The asymmetric unit holds Rb at (0.0000, 0.0000, 0.0000), Ba at (0.0000, 0.0000, 0.8300), Cl at (0.0000, 0.0000, 0.4131) and Cl at (0.0000, 0.0000, 0.5818).

***

[8]
DFT (PBE) results for a relaxed structure of Ac2Y7Er2.

The calculation puts the total magnetic moment at 0.0 μB/cell. Its formation energy is 1.43 eV per formula unit.

The space group is C2/m (No. 12) and the conventional cell measures 7.0369, 10.7300 and 10.1093 Å, with angles of 90.00, 94.38 and 90.00 degrees. The asymmetric unit holds Ac at (0.2125, 0.0000, 0.2894), Y at (0.0000, 0.5000, 0.0000), Y at (0.1265, 0.2062, 0.8562), Y at (0.2020, 0.5000, 0.3593) and Er at (0.0000, 0.2390, 0.5000).

***

[9]
DFT (PBE) results for a relaxed structure of TaPtPb.

The calculation puts the total magnetic moment at 0.7 μB/cell. Its formation energy is -0.04 eV per formula unit.

The space group is I4mm (No. 107) and the conventional cell measures 3.2163, 3.2163 and 11.9967 Å, with angles of 90.00, 90.00 and 90.00 degrees. The asymmetric unit holds Ta at (0.0000, 0.0000, 0.0000), Pt at (0.0000, 0.0000, 0.3800) and Pb at (0.0000, 0.0000, 0.6905).

***

[10]
DFT (PBE) results for a relaxed structure of LiMgSc2.

The calculation puts the total magnetic moment at 0.0 μB/cell. Its formation energy is 0.38 eV per formula unit.

The space group is P4/mmm (No. 123) and the conventional cell measures 5.0365, 5.0365 and 3.5340 Å, with angles of 90.00, 90.00 and 90.00 degrees. The asymmetric unit holds Li at (0.0000, 0.0000, 0.0000), Mg at (0.5000, 0.5000, 0.0000) and Sc at (0.0000, 0.5000, 0.5000).

***

[11]
DFT (PBE) results for a relaxed structure of Cs2AuCBr6.

The calculation puts the total magnetic moment at 0.0 μB/cell. The calculation puts the uncorrected formation energy at -300.5 meV/atom.

The space group is I4/mmm (No. 139) and the conventional cell measures 7.4920, 7.4920 and 10.4724 Å, with angles of 90.00, 90.00 and 90.00 degrees. The asymmetric unit holds Cs at (0.0000, 0.5000, 0.2500), Au at (0.0000, 0.0000, 0.0000), C at (0.0000, 0.0000, 0.5000), Br at (0.0000, 0.0000, 0.2606) and Br at (0.2391, 0.2391, 0.5000).

***

[12]
DFT (PBE) results for a relaxed structure of ErTm4Al.

The calculation puts the total magnetic moment at 0.0 μB/cell. Its formation energy is -0.59 eV per formula unit.

The space group is Cmc2_1 (No. 36) and the conventional cell measures 5.2457, 11.7846 and 10.7919 Å, with angles of 90.00, 90.00 and 90.00 degrees. The asymmetric unit holds Er at (0.0000, 0.1795, 0.0000), Tm at (0.0000, 0.0257, 0.2849), Tm at (0.0000, 0.1789, 0.5691), Tm at (0.0000, 0.3177, 0.2846), Tm at (0.0000, 0.4996, 0.0340) and Al at (0.0000, 0.3471, 0.7836).